<i>
# Hf2ZrGe2, optimized geometry, DFT PBE-GGA
data_Hf2ZrGe2
_cell_length_a 3.5821
_cell_length_b 3.5821
_cell_length_c 16.5670
_cell_angle_alpha 90.00
_cell_angle_beta 90.00
_cell_angle_gamma 90.00
_space_group_name_H-M_alt 'I 4/m m m'
_space_group_IT_number 139
_space_group_name_Hall '-I 4 2'
loop_
_atom_site_label
_atom_site_type_symbol
_atom_site_fract_x
_atom_site_fract_y
_atom_site_fract_z
Hf1 Hf 0.0000 0.0000 0.1128
Zr1 Zr 0.0000 0.0000 0.5000
Ge1 Ge 0.0000 0.5000 0.2500
# volume = 212.58 Å³/cell

=====

<ii>
# Hf2ZrGe2, optimized geometry, DFT PBE-GGA
data_Hf2ZrGe2
_cell_length_a 7.2035
_cell_length_b 7.2035
_cell_length_c 3.7022
_cell_angle_alpha 90.00
_cell_angle_beta 90.00
_cell_angle_gamma 90.00
_space_group_name_H-M_alt 'P 4/m b m'
_space_group_IT_number 127
_space_group_name_Hall '-P 4 2ab'
loop_
_atom_site_label
_atom_site_type_symbol
_atom_site_fract_x
_atom_site_fract_y
_atom_site_fract_z
Hf1 Hf 0.1709 0.3291 0.0000
Zr1 Zr 0.0000 0.0000 0.5000
Ge1 Ge 0.1298 0.6298 0.5000
# volume = 192.10 Å³/cell

=====

Most stable pick: <ii>. Distance to second place: 746 meV/atom.

=====

<i>
# HfZrGe3, optimized geometry, DFT PBE-GGA
data_HfZrGe3
_cell_length_a 5.0424
_cell_length_b 5.0424
_cell_length_c 5.0424
_cell_angle_alpha 90.00
_cell_angle_beta 90.00
_cell_angle_gamma 90.00
_space_group_name_H-M_alt 'P m -3 m'
_space_group_IT_number 221
_space_group_name_Hall '-P 4 2 3'
loop_
_atom_site_label
_atom_site_type_symbol
_atom_site_fract_x
_atom_site_fract_y
_atom_site_fract_z
Hf1 Hf 0.0000 0.0000 0.0000
Zr1 Zr 0.5000 0.5000 0.5000
Ge1 Ge 0.0000 0.5000 0.5000
# volume = 128.20 Å³/cell

=====

<ii>
# HfZrGe3, optimized geometry, DFT PBE-GGA
data_HfZrGe3
_cell_length_a 5.0063
_cell_length_b 5.0063
_cell_length_c 5.0063
_cell_angle_alpha 90.00
_cell_angle_beta 90.00
_cell_angle_gamma 90.00
_space_group_name_H-M_alt 'P m -3 m'
_space_group_IT_number 221
_space_group_name_Hall '-P 4 2 3'
loop_
_atom_site_label
_atom_site_type_symbol
_atom_site_fract_x
_atom_site_fract_y
_atom_site_fract_z
Hf1 Hf 0.0000 0.0000 0.0000
Zr1 Zr 0.5000 0.5000 0.5000
Ge1 Ge 0.0000 0.0000 0.5000
# volume = 125.47 Å³/cell

=====

Most stable pick: <ii>. Distance to second place: 135 meV/atom.

=====

<i>
# Hg2Ge2I, optimized geometry, DFT PBE-GGA
data_Hg2Ge2I
_cell_length_a 8.1544
_cell_length_b 8.1544
_cell_length_c 3.9141
_cell_angle_alpha 90.00
_cell_angle_beta 90.00
_cell_angle_gamma 90.00
_space_group_name_H-M_alt 'P 4/m b m'
_space_group_IT_number 127
_space_group_name_Hall '-P 4 2ab'
loop_
_atom_site_label
_atom_site_type_symbol
_atom_site_fract_x
_atom_site_fract_y
_atom_site_fract_z
Hg1 Hg 0.1834 0.3166 0.0000
Ge1 Ge 0.1181 0.6181 0.5000
I1 I 0.0000 0.0000 0.5000
# volume = 260.27 Å³/cell

=====

<ii>
# Hg2Ge2I, optimized geometry, DFT PBE-GGA
data_Hg2Ge2I
_cell_length_a 3.9094
_cell_length_b 3.9094
_cell_length_c 17.8157
_cell_angle_alpha 90.00
_cell_angle_beta 90.00
_cell_angle_gamma 90.00
_space_group_name_H-M_alt 'I 4/m m m'
_space_group_IT_number 139
_space_group_name_Hall '-I 4 2'
loop_
_atom_site_label
_atom_site_type_symbol
_atom_site_fract_x
_atom_site_fract_y
_atom_site_fract_z
Hg1 Hg 0.0000 0.0000 0.1115
Ge1 Ge 0.0000 0.5000 0.2500
I1 I 0.0000 0.0000 0.5000
# volume = 272.28 Å³/cell

=====

Most stable pick: <ii>. Distance to second place: 38 meV/atom.